(1)
This record from Alexandria via LeMat-Bulk describes a relaxed GaSbMoO6 crystal. The functional is GGA+U.

a = 4.6916 Å, b = 4.6916 Å, c = 9.4309 Å
α = 90.00°, β = 90.00°, γ = 90.00°
With the nearest neighbours (Å) after each atom.
Space group P4_2nm (No. 102)
Symmetry-distinct sites (fractional):
1 Ga 0.0000 0.0000 0.0000  6 O 2.01-2.03
2 Sb 0.0000 0.0000 0.3348  6 O 2.01-2.03
3 Mo 0.0000 0.0000 0.6681  6 O 2.04-2.08
4 O 0.1921 0.1921 0.1675  1 Sb 2.03, 1 Ga 2.03, 1 Mo 2.04
5 O 0.1970 0.1970 0.8380  1 Sb 2.01, 1 Ga 2.01, 1 Mo 2.07
6 O 0.1978 0.1978 0.4974  1 Ga 2.01, 1 Sb 2.02, 1 Mo 2.08

## Properties
* calculated total energy: -6.5359 eV per atom
* mass density: 6.1 g/cm³
* M_tot: 2.00 μB/f.u.

***

(2)
This record from Alexandria via LeMat-Bulk describes a relaxed ScGaMoO6 crystal. The functional is GGA+U.

a = 4.7374 Å, b = 4.7374 Å, c = 9.1993 Å
α = 90.00°, β = 90.00°, γ = 90.00°
With the nearest neighbours (Å) after each atom.
Space group P4_2nm (No. 102)
Symmetry-distinct sites (fractional):
1 Sc 0.0000 0.0000 0.0000  6 O 2.08-2.16
2 Ga 0.0000 0.0000 0.6712  6 O 2.00-2.03
3 Mo 0.0000 0.0000 0.3343  6 O 1.91-1.97
4 O 0.1858 0.1858 0.5004  1 Mo 1.97, 1 Ga 2.00, 1 Sc 2.11
5 O 0.1983 0.1983 0.1857  1 Mo 1.91, 1 Ga 2.03
6 O 0.2055 0.2055 0.8304  1 Mo 1.97, 1 Ga 2.01, 1 Sc 2.08

## Properties
* calculated total energy: -7.2797 eV per atom
* mass density: 4.9 g/cm³
* M_tot: 0.00 μB/f.u.

***

(3)
This record from Alexandria via LeMat-Bulk describes a relaxed ScGa2MoO6 crystal. The functional is GGA+U.

a = 9.8595 Å, b = 9.2732 Å, c = 5.4831 Å
α = 90.00°, β = 100.26°, γ = 90.00°
With the nearest neighbours (Å) after each atom.
Space group C2/c (No. 15)
Symmetry-distinct sites (fractional):
1 Sc 0.0000 0.0985 0.2500  6 O 2.04-2.24
2 Ga 0.1918 0.4098 0.3029  4 O 1.84-1.90
3 Mo 0.0000 0.2720 0.7500  6 O 2.16-2.21
4 O 0.1128 0.0893 0.6221  1 Ga 1.90
5 O 0.1158 0.2535 0.1217  1 Ga 1.84, 1 Sc 2.04
6 O 0.1366 0.4254 0.6130  2 Ga 1.87-1.88

## Properties
* calculated total energy: -7.1511 eV per atom
* mass density: 5.1 g/cm³
* M_tot: 3.00 μB/f.u.

***

(4)
This record from Alexandria via LeMat-Bulk describes a relaxed SmGa2MoO8 crystal. The functional is GGA+U.

a = 6.6373 Å, b = 6.6926 Å, c = 6.5271 Å
α = 90.00°, β = 90.00°, γ = 90.00°
With the nearest neighbours (Å) after each atom.
Space group Cmmm (No. 65)
Symmetry-distinct sites (fractional):
1 Sm 0.0000 0.0000 0.0000  6 O 2.24-2.31
2 Ga 0.0000 0.5000 0.2647  6 O 1.99-2.05
3 Mo 0.0000 0.0000 0.5000  6 O 1.92-1.99
4 O 0.0000 0.2980 0.5000  1 Mo 1.99, 2 Ga 2.05
5 O 0.0000 0.3340 0.0000  2 Ga 2.05, 1 O 2.22, 1 Sm 2.24
6 O 0.2017 0.0000 0.2887  1 Mo 1.92, 1 Ga 1.99

## Properties
* calculated total energy: -6.6493 eV per atom
* mass density: 5.9 g/cm³
* M_tot: 0.49 μB/f.u.

***

(5)
This record from Alexandria via LeMat-Bulk describes a relaxed SrGaMoO6 crystal. The functional is GGA+U.

a = 5.2704 Å, b = 5.2704 Å, c = 5.3414 Å
α = 90.00°, β = 90.00°, γ = 120.00°
With the nearest neighbours (Å) after each atom.
Space group P312 (No. 149)
Symmetry-distinct sites (fractional):
1 Sr 0.0000 0.0000 0.0000  6 O 2.57
2 Ga 0.3333 0.6667 0.5000  6 O 2.00
3 Mo 0.6667 0.3333 0.5000  6 O 1.94
4 O 0.3891 0.0077 0.7055  1 Mo 1.94, 1 Ga 2.00

## Properties
* calculated total energy: -6.4146 eV per atom
* mass density: 4.5 g/cm³
* M_tot: 1.07 μB/f.u.

***

(6)
This record from Alexandria via LeMat-Bulk describes a relaxed Sr2GaMo2O7 crystal. The functional is GGA+U.

a = 23.1471 Å, b = 5.5814 Å, c = 5.7397 Å
α = 90.00°, β = 104.12°, γ = 90.00°
With the nearest neighbours (Å) after each atom.
Space group C2 (No. 5)
Symmetry-distinct sites (fractional):
1 Sr 0.1512 0.0000 0.1377  7 O 2.46-2.71
2 Sr 0.1517 0.4954 0.6781  7 O 2.49-2.71
3 Ga 0.2473 0.4697 0.3197  4 O 1.82-1.91
4 Mo 0.0617 0.0039 0.5677  4 O 1.93-2.02
5 Mo 0.0694 0.5027 0.0781  5 O 2.04-2.26
6 O 0.0675 0.2420 0.8153  2 Mo 1.93-2.09
7 O 0.0741 0.7544 0.8254  2 Mo 2.00-2.04
8 O 0.0756 0.7639 0.3454  2 Mo 1.93-2.10
9 O 0.0823 0.2497 0.3435  2 Mo 2.02-2.05
10 O 0.1695 0.5202 0.1352  1 Ga 1.88
11 O 0.1839 0.0475 0.7636  1 Ga 1.82
12 O 0.2490 0.6335 0.6128  2 Ga 1.91

## Properties
* calculated total energy: -6.5821 eV per atom
* mass density: 5.1 g/cm³
* M_tot: 4.00 μB/f.u.

***

(7)
This record from Alexandria via LeMat-Bulk describes a relaxed SrGa2MoO6 crystal. The functional is GGA+U.

a = 9.7001 Å, b = 10.1075 Å, c = 5.5676 Å
α = 90.00°, β = 97.52°, γ = 90.00°
With the nearest neighbours (Å) after each atom.
Space group C2/c (No. 15)
Symmetry-distinct sites (fractional):
1 Sr 0.0000 0.0917 0.2500  6 O 2.41-2.57
2 Ga 0.1851 0.4097 0.2958  4 O 1.84-1.93
3 Mo 0.0000 0.2852 0.7500  6 O 1.99-2.18
4 O 0.1009 0.2843 0.0858  1 Ga 1.84, 1 Mo 1.99
5 O 0.1250 0.1233 0.6596  1 Ga 1.86
6 O 0.1436 0.4272 0.6244  2 Ga 1.92-1.93

## Properties
* calculated total energy: -6.4527 eV per atom
* mass density: 5.1 g/cm³
* M_tot: 2.00 μB/f.u.

***

(8)
This record from Alexandria via LeMat-Bulk describes a relaxed TbGa2MoO8 crystal. The functional is GGA+U.

a = 6.6655 Å, b = 6.6766 Å, c = 6.4253 Å
α = 90.00°, β = 90.00°, γ = 90.00°
With the nearest neighbours (Å) after each atom.
Space group Cmmm (No. 65)
Symmetry-distinct sites (fractional):
1 Tb 0.0000 0.0000 0.0000  6 O 2.20-2.27
2 Ga 0.0000 0.5000 0.2595  6 O 2.00-2.05
3 Mo 0.0000 0.0000 0.5000  6 O 1.92-2.00
4 O 0.0000 0.2990 0.5000  1 Mo 2.00, 2 Ga 2.05
5 O 0.0000 0.3288 0.0000  2 Ga 2.02, 1 Tb 2.20
6 O 0.2003 0.0000 0.2851  1 Mo 1.92, 1 Ga 2.00

## Properties
* calculated total energy: -6.6746 eV per atom
* mass density: 6.1 g/cm³
* M_tot: 0.62 μB/f.u.